1.
Here is NaSn3Ge2Te6 after structural relaxation from the Alexandria database. Energies are from PBE.

Properties
Uncorrected formation energy   -0.28 eV/atom
Space-group type   No. 12
Final energy   -3.7307 eV/atom

a = 9.821 Å, b = 9.821 Å, c = 8.938 Å
α = 101.09°, β = 101.09°, γ = 25.62°
Atoms (fractional coordinates):
1 Na 0.000 0.000 0.000
2 Sn 0.000 0.000 0.500
3 Sn 0.334 0.334 0.179
4 Sn 0.666 0.666 0.821
5 Ge 0.337 0.337 0.679
6 Ge 0.663 0.663 0.321
7 Te 0.169 0.169 0.577
8 Te 0.170 0.170 0.103
9 Te 0.491 0.491 0.742
10 Te 0.509 0.509 0.258
11 Te 0.830 0.830 0.897
12 Te 0.831 0.831 0.423

***

2.
Here is BaBeCu2 after structural relaxation from the Alexandria database. Energies are from PBE.

Properties
Space-group type   No. 99
Final energy   -3.2529 eV/atom

a = 3.774 Å, b = 3.774 Å, c = 5.956 Å
α = 90.00°, β = 90.00°, γ = 90.00°
Atoms (fractional coordinates):
1 Ba 0.000 0.000 0.000
2 Be 0.500 0.500 0.333
3 Cu 0.000 0.500 0.519
4 Cu 0.500 0.000 0.519

***

3.
Here is TbZnPd6 after structural relaxation from the Alexandria database. Energies are from PBE.

Properties
ΔE to the lowest computed polymorph   0.000 eV/atom
Space-group type   No. 123
Final energy   -5.2021 eV/atom

a = 4.061 Å, b = 4.061 Å, c = 7.931 Å
α = 90.00°, β = 90.00°, γ = 90.00°
Atoms (fractional coordinates):
1 Tb 0.000 0.000 0.000
2 Zn 0.000 0.000 0.500
3 Pd 0.000 0.500 0.266
4 Pd 0.000 0.500 0.734
5 Pd 0.500 0.000 0.266
6 Pd 0.500 0.000 0.734
7 Pd 0.500 0.500 0.000
8 Pd 0.500 0.500 0.500

***

Repeat the second record exactly.
Here is BaBeCu2 after structural relaxation from the Alexandria database. Energies are from PBE.

Properties
Space-group type   No. 99
Final energy   -3.2529 eV/atom

a = 3.774 Å, b = 3.774 Å, c = 5.956 Å
α = 90.00°, β = 90.00°, γ = 90.00°
Atoms (fractional coordinates):
1 Ba 0.000 0.000 0.000
2 Be 0.500 0.500 0.333
3 Cu 0.000 0.500 0.519
4 Cu 0.500 0.000 0.519

***

Which of these has the lowest final energy? TbZnPd6

***

Number 1 is which compound? NaSn3Ge2Te6